(1)
{
  "formula": "In3Te",
  "functional": "GGA-PBE",
  "state": "optimized geometry",
  "lattice": [[-2.291, -1.431, 2.082], [3.208, -1.156, -0.057], [2.759, 7.263, 8.029]],
  "species": ["In", "In", "In", "Te"],
  "fractional_positions": [[0.000, 0.000, 0.002], [0.000, 0.000, 0.498], [0.667, 0.333, 0.250], [0.667, 0.333, 0.750]],
  "formation_energy_uncorrected_mev_per_atom": 58,
  "energy_ev_per_atom": -2.78,
  "spacegroup": "P-6m2 (187)"
}



(2)
{
  "formula": "TlPdAuSe2",
  "functional": "GGA-PBE",
  "state": "optimized geometry",
  "lattice": [[7.692, 0.000, 0.000], [0.000, 5.969, 0.000], [0.000, -2.985, 5.598]],
  "species": ["Tl", "Tl", "Pd", "Pd", "Au", "Au", "Se", "Se", "Se", "Se"],
  "fractional_positions": [[0.238, 0.750, 0.500], [0.762, 0.250, 0.500], [0.500, 0.750, 0.000], [0.500, 0.250, 0.000], [0.000, 0.000, 0.000], [0.000, 0.500, 0.000], [0.715, 0.896, 0.791], [0.715, 0.604, 0.209], [0.285, 0.396, 0.791], [0.285, 0.104, 0.209]],
  "formation_energy_uncorrected_mev_per_atom": -182,
  "energy_ev_per_atom": -3.74,
  "spacegroup": "Cmme (67)"
}



(3)
{
  "formula": "TlCdGa2",
  "functional": "GGA-PBE",
  "state": "optimized geometry",
  "lattice": [[3.429, 0.000, 0.000], [1.714, 2.969, 0.000], [1.714, 0.990, 9.304]],
  "species": ["Tl", "Ga", "Ga", "Cd"],
  "fractional_positions": [[0.500, 0.500, 0.500], [0.255, 0.255, 0.236], [0.745, 0.745, 0.764], [0.000, 0.000, 0.000]],
  "energy_ev_per_atom": -2.22,
  "ef_ev_per_atom": 0.115,
  "spacegroup": "R-3m (166)"
}



(4)
{
  "formula": "PaZnSbO6",
  "functional": "GGA-PBE",
  "state": "optimized geometry",
  "lattice": [[5.523, 0.000, 0.000], [-2.761, 4.783, 0.000], [0.000, 0.000, 9.003]],
  "species": ["Pa", "Pa", "Zn", "Zn", "Sb", "Sb", "O", "O", "O", "O", "O", "O", "O", "O", "O", "O", "O", "O"],
  "fractional_positions": [[0.333, 0.667, 0.250], [0.667, 0.333, 0.750], [0.000, 0.000, 0.000], [0.000, 0.000, 0.500], [0.667, 0.333, 0.250], [0.333, 0.667, 0.750], [0.670, 0.645, 0.130], [0.976, 0.330, 0.130], [0.330, 0.976, 0.630], [0.024, 0.670, 0.870], [0.355, 0.330, 0.370], [0.976, 0.645, 0.370], [0.645, 0.976, 0.870], [0.670, 0.024, 0.370], [0.024, 0.355, 0.630], [0.355, 0.024, 0.130], [0.645, 0.670, 0.630], [0.330, 0.355, 0.870]],
  "formation_energy_uncorrected_mev_per_atom": -2069,
  "energy_ev_per_atom": -7.03,
  "spacegroup": "P-31c (163)"
}



(5)
{
  "formula": "ReSbSe",
  "functional": "GGA-PBE",
  "state": "optimized geometry",
  "lattice": [[-1.091, -2.250, -4.282], [3.420, 0.465, -3.561], [-0.581, -1.592, 4.660]],
  "species": ["Re", "Sb", "Se"],
  "fractional_positions": [[0.982, 0.982, 0.000], [0.342, 0.342, 0.000], [0.676, 0.676, 0.000]],
  "formation_energy_uncorrected_mev_per_atom": 762,
  "energy_ev_per_atom": -5.92,
  "spacegroup": "Imm2 (44)"
}



(6)
{
  "formula": "Na4Tl5Sn2",
  "functional": "GGA-PBE",
  "state": "optimized geometry",
  "lattice": [[3.431, 0.000, 0.000], [0.000, 10.410, -2.598], [0.000, -2.858, 9.632]],
  "species": ["Na", "Na", "Na", "Na", "Tl", "Tl", "Tl", "Tl", "Tl", "Sn", "Sn"],
  "fractional_positions": [[0.500, 0.743, 0.480], [0.500, 0.227, 0.992], [0.500, 0.257, 0.520], [0.500, 0.773, 0.008], [0.000, 0.435, 0.320], [0.000, 0.097, 0.182], [0.000, 0.500, 0.000], [0.000, 0.903, 0.818], [0.000, 0.565, 0.680], [0.000, 0.102, 0.673], [0.000, 0.898, 0.327]],
  "energy_ev_per_atom": -2.35,
  "ef_ev_per_atom": -0.068,
  "spacegroup": "P2/m (10)"
}



(7)
{
  "formula": "NaRh2Pb4",
  "functional": "GGA-PBE",
  "state": "optimized geometry",
  "lattice": [[6.721, 0.784, -2.454], [-3.155, 5.973, -2.451], [-0.084, -0.152, 8.590]],
  "species": ["Na", "Na", "Rh", "Rh", "Rh", "Rh", "Pb", "Pb", "Pb", "Pb", "Pb", "Pb", "Pb", "Pb"],
  "fractional_positions": [[0.270, 0.730, 0.500], [0.112, 0.887, 0.000], [0.564, 0.901, 0.247], [0.724, 0.439, 0.800], [0.099, 0.436, 0.754], [0.563, 0.275, 0.199], [0.818, 0.601, 0.574], [0.375, 0.190, 0.817], [0.946, 0.207, 0.357], [0.399, 0.183, 0.425], [0.792, 0.055, 0.645], [0.276, 0.497, 0.128], [0.810, 0.624, 0.182], [0.501, 0.725, 0.873]],
  "energy_ev_per_atom": -4.41,
  "ef_ev_per_atom": -0.005,
  "spacegroup": "P1 (1)"
}



(8)
{
  "formula": "BeCr2Fe",
  "functional": "GGA-PBE",
  "state": "optimized geometry",
  "lattice": [[-1.292, 2.087, 1.279], [-2.279, -1.553, 0.232], [1.801, -1.908, 4.932]],
  "species": ["Cr", "Cr", "Fe", "Be"],
  "fractional_positions": [[0.000, 0.000, 0.992], [0.000, 0.000, 0.508], [0.500, 0.500, 0.250], [0.500, 0.500, 0.750]],
  "energy_ev_per_atom": -7.70,
  "ef_ev_per_atom": 0.156,
  "spacegroup": "P4/mmm (123)"
}



Q: Number 2 is which compound?
A: TlPdAuSe2



Q: Number 5 is which compound?
A: ReSbSe